Ag7PdAu4: relaxed, PBE-GGA.

The structure in POSCAR format:
```
Ag7PdAu4
1.0
5.215 -2.540 0.000
5.215 2.540 0.000
-5.074 0.000 8.821
Ag Pd Au
7 1 4
direct
0.000 0.000 0.000
0.155 0.155 0.619
0.212 0.212 0.916
0.389 0.389 0.548
0.611 0.611 0.452
0.788 0.788 0.084
0.845 0.845 0.381
0.500 0.500 0.000
0.089 0.089 0.310
0.312 0.312 0.228
0.688 0.688 0.772
0.911 0.911 0.690
```

## Properties
V = 19.47 Å³/atom
space-group type = C2/m (12)
DOS at the Fermi energy = 0.304 states/eV/atom
energy above the lowest structure with this stoichiometry = 0 meV/atom
raw total energy = -36.10 eV per formula unit
energy of formation from the pure elements = 0.18 eV/atom

TaCuSi: relaxed, PBE-GGA.

The structure in POSCAR format:
```
TaCuSi
1.0
2.823 0.000 0.000
-1.411 2.445 0.000
0.000 0.000 6.505
Ta Cu Si
1 1 1
direct
0.000 0.000 0.000
0.667 0.333 0.356
0.333 0.667 0.658
```

## Properties
V = 14.96 Å³/atom
space-group type = P3m1 (156)
DOS at the Fermi energy = 0.375 states/eV/atom
formation energy without anion corrections = 0.078 eV per atom
raw total energy = -21.14 eV per formula unit

Pr3CoICl: relaxed, PBE-GGA.

The structure in POSCAR format:
```
Pr3CoICl
1.0
9.697 0.000 0.000
0.000 4.064 0.000
-0.671 0.000 9.845
Pr Co I Cl
6 2 2 2
direct
0.079 0.250 0.357
0.146 0.250 0.915
0.318 0.750 0.643
0.682 0.250 0.357
0.854 0.750 0.085
0.921 0.750 0.643
0.124 0.250 0.646
0.876 0.750 0.354
0.384 0.750 0.323
0.616 0.250 0.677
0.359 0.750 0.933
0.641 0.250 0.067
```

## Properties
V = 32.34 Å³/atom
space-group type = P2_1/m (11)
DOS at the Fermi energy = 0.665 states/eV/atom
formation energy without anion corrections = -0.830 eV per atom
raw total energy = -29.82 eV per formula unit

CaSc2As: relaxed, PBE-GGA.

The structure in POSCAR format:
```
CaSc2As
1.0
2.147 -2.719 0.000
2.147 2.719 0.000
0.000 0.000 8.942
Ca Sc As
1 2 1
direct
0.000 0.000 0.000
0.500 0.500 0.319
0.500 0.500 0.681
0.000 0.000 0.500
```

## Properties
V = 26.11 Å³/atom
space-group type = Cmmm (65)
DOS at the Fermi energy = 1.382 states/eV/atom
raw total energy = -21.03 eV per formula unit
energy of formation from the pure elements = -0.43 eV/atom

Na2SrVCl8: relaxed, PBE-GGA.

The structure in POSCAR format:
```
Na2SrVCl8
1.0
6.336 0.000 0.000
0.000 8.327 0.000
-0.099 0.000 6.445
Na Sr V Cl
2 1 1 8
direct
0.000 0.242 0.000
0.000 0.758 0.000
0.500 0.000 0.500
0.500 0.500 0.500
0.215 0.000 0.827
0.279 0.500 0.776
0.292 0.298 0.339
0.292 0.702 0.339
0.708 0.298 0.661
0.708 0.702 0.661
0.721 0.500 0.224
0.785 0.000 0.173
```

## Properties
V = 28.34 Å³/atom
space-group type = P2/m (10)
DOS at the Fermi energy = 0.277 states/eV/atom
formation energy without anion corrections = -1.627 eV per atom
raw total energy = -47.74 eV per formula unit

DyIn3Pt12: relaxed, PBE-GGA.

The structure in POSCAR format:
```
DyIn3Pt12
1.0
4.076 0.000 0.000
0.000 4.076 0.000
0.000 0.000 16.196
Dy In Pt
1 3 12
direct
0.000 0.000 0.000
0.000 0.000 0.253
0.000 0.000 0.500
0.000 0.000 0.747
0.000 0.500 0.128
0.000 0.500 0.376
0.000 0.500 0.624
0.000 0.500 0.872
0.500 0.000 0.128
0.500 0.000 0.376
0.500 0.000 0.624
0.500 0.000 0.872
0.500 0.500 0.000
0.500 0.500 0.252
0.500 0.500 0.500
0.500 0.500 0.748
```

## Properties
V = 16.81 Å³/atom
space-group type = P4/mmm (123)
DOS at the Fermi energy = 0.966 states/eV/atom
raw total energy = -93.96 eV per formula unit
energy of formation from the pure elements = -0.54 eV/atom

ZrAl2Te: relaxed, PBE-GGA.

The structure in POSCAR format:
```
ZrAl2Te
1.0
0.000 3.489 3.489
3.489 0.000 3.489
3.489 3.489 0.000
Zr Al Te
1 2 1
direct
0.000 0.000 0.000
0.500 0.500 0.500
0.750 0.750 0.750
0.250 0.250 0.250
```

## Properties
V = 21.23 Å³/atom
space-group type = F-43m (216)
DOS at the Fermi energy = 1.070 states/eV/atom
formation energy without anion corrections = 0.086 eV per atom
raw total energy = -18.83 eV per formula unit

SrZrAu2: relaxed, PBE-GGA.

The structure in POSCAR format:
```
SrZrAu2
1.0
3.556 0.000 0.000
0.000 3.573 0.000
0.000 0.000 7.530
Sr Zr Au
1 1 2
direct
0.000 0.000 0.000
0.000 0.000 0.500
0.500 0.500 0.298
0.500 0.500 0.702
```

## Properties
V = 23.91 Å³/atom
space-group type = Pmmm (47)
DOS at the Fermi energy = 0.813 states/eV/atom
energy above the lowest structure with this stoichiometry = 0 meV/atom
raw total energy = -18.96 eV per formula unit
energy of formation from the pure elements = -0.54 eV/atom

Li4ZnO3: relaxed, PBE-GGA.

The structure in POSCAR format:
```
Li4ZnO3
1.0
5.094 -2.555 0.000
5.094 2.555 0.000
-2.562 0.000 6.369
Li Zn O
8 2 6
direct
0.038 0.602 0.090
0.097 0.400 0.389
0.147 0.853 0.500
0.235 0.548 0.783
0.400 0.097 0.889
0.548 0.235 0.283
0.602 0.038 0.590
0.853 0.147 0.000
0.488 0.782 0.170
0.782 0.488 0.670
0.177 0.188 0.604
0.188 0.177 0.104
0.448 0.460 0.568
0.460 0.448 0.068
0.816 0.819 0.839
0.819 0.816 0.339
```

## Properties
V = 10.36 Å³/atom
space-group type = Cc (9)
DOS at the Fermi energy = 0.000 states/eV/atom
formation energy without anion corrections = -1.701 eV per atom
raw total energy = -37.41 eV per formula unit

HfZn2Bi: relaxed, PBE-GGA.

The structure in POSCAR format:
```
HfZn2Bi
1.0
-3.901 3.901 2.892
3.901 -3.901 2.892
3.901 3.901 -2.892
Hf Zn Bi
2 4 2
direct
0.000 0.000 0.000
0.750 0.250 0.500
0.120 0.625 0.995
0.375 0.370 0.495
0.630 0.125 0.005
0.875 0.880 0.505
0.250 0.750 0.500
0.500 0.500 0.000
```

## Properties
V = 22.01 Å³/atom
space-group type = I-42d (122)
DOS at the Fermi energy = 0.569 states/eV/atom
raw total energy = -15.52 eV per formula unit
energy of formation from the pure elements = 0.22 eV/atom

AsCl: relaxed, PBE-GGA.

The structure in POSCAR format:
```
AsCl
1.0
4.748 0.000 0.000
-2.374 4.112 0.000
0.000 0.000 5.167
As Cl
2 2
direct
0.000 0.000 0.000
0.000 0.000 0.500
0.333 0.667 0.250
0.667 0.333 0.750
```

## Properties
V = 25.22 Å³/atom
space-group type = P6_3/mmc (194)
DOS at the Fermi energy = 0.833 states/eV/atom
formation energy without anion corrections = 0.357 eV per atom
raw total energy = -5.78 eV per formula unit

Pa2SnGe3Ir4: relaxed, PBE-GGA.

The structure in POSCAR format:
```
Pa2SnGe3Ir4
1.0
4.099 0.000 0.000
0.000 4.099 0.000
0.000 0.000 11.128
Pa Sn Ge Ir
2 1 3 4
direct
0.000 0.500 0.233
0.500 0.000 0.767
0.000 0.000 0.500
0.000 0.500 0.874
0.500 0.000 0.126
0.500 0.500 0.500
0.000 0.000 0.000
0.000 0.500 0.658
0.500 0.000 0.342
0.500 0.500 0.000
```

## Properties
V = 18.70 Å³/atom
space-group type = P-4m2 (115)
DOS at the Fermi energy = 0.635 states/eV/atom
raw total energy = -78.47 eV per formula unit
energy of formation from the pure elements = -0.62 eV/atom

What did the fifth record say?
Na2SrVCl8: relaxed, PBE-GGA.

The structure in POSCAR format:
```
Na2SrVCl8
1.0
6.336 0.000 0.000
0.000 8.327 0.000
-0.099 0.000 6.445
Na Sr V Cl
2 1 1 8
direct
0.000 0.242 0.000
0.000 0.758 0.000
0.500 0.000 0.500
0.500 0.500 0.500
0.215 0.000 0.827
0.279 0.500 0.776
0.292 0.298 0.339
0.292 0.702 0.339
0.708 0.298 0.661
0.708 0.702 0.661
0.721 0.500 0.224
0.785 0.000 0.173
```

## Properties
V = 28.34 Å³/atom
space-group type = P2/m (10)
DOS at the Fermi energy = 0.277 states/eV/atom
formation energy without anion corrections = -1.627 eV per atom
raw total energy = -47.74 eV per formula unit

Repeat the ninth record exactly.
Li4ZnO3: relaxed, PBE-GGA.

The structure in POSCAR format:
```
Li4ZnO3
1.0
5.094 -2.555 0.000
5.094 2.555 0.000
-2.562 0.000 6.369
Li Zn O
8 2 6
direct
0.038 0.602 0.090
0.097 0.400 0.389
0.147 0.853 0.500
0.235 0.548 0.783
0.400 0.097 0.889
0.548 0.235 0.283
0.602 0.038 0.590
0.853 0.147 0.000
0.488 0.782 0.170
0.782 0.488 0.670
0.177 0.188 0.604
0.188 0.177 0.104
0.448 0.460 0.568
0.460 0.448 0.068
0.816 0.819 0.839
0.819 0.816 0.339
```

## Properties
V = 10.36 Å³/atom
space-group type = Cc (9)
DOS at the Fermi energy = 0.000 states/eV/atom
formation energy without anion corrections = -1.701 eV per atom
raw total energy = -37.41 eV per formula unit